Entry i
# BaSrZnAs2, relaxed, DFT GGA-PBE
# Total moment, μB/cell: 0.007
# Calculated density, g cm⁻³: 3.1
data_BaSrZnAs2
_symmetry_space_group_name_H-M 'P 4/m m m'
_symmetry_Int_Tables_number 123
_symmetry_space_group_name_Hall '-P 4 2'
_cell_length_a 5.854
_cell_length_b 5.854
_cell_length_c 6.934
_cell_angle_alpha 90.00
_cell_angle_beta 90.00
_cell_angle_gamma 90.00
loop_
_atom_site_label
_atom_site_type_symbol
_atom_site_fract_x
_atom_site_fract_y
_atom_site_fract_z
Ba1 Ba 0.000 0.000 0.000
Sr1 Sr 0.000 0.000 0.500
Zn1 Zn 0.500 0.500 0.500
As1 As 0.000 0.500 0.000

Entry ii
# BaSrZnAs2, relaxed, DFT GGA-PBE
# Total moment, μB/cell: 0.000
# Calculated density, g cm⁻³: 4.2
data_BaSrZnAs2
_symmetry_space_group_name_H-M 'C m m e'
_symmetry_Int_Tables_number 67
_symmetry_space_group_name_Hall '-C 2a 2'
_cell_length_a 8.255
_cell_length_b 15.551
_cell_length_c 5.413
_cell_angle_alpha 90.00
_cell_angle_beta 90.00
_cell_angle_gamma 90.00
loop_
_atom_site_label
_atom_site_type_symbol
_atom_site_fract_x
_atom_site_fract_y
_atom_site_fract_z
Ba1 Ba 0.000 0.250 0.245
Sr1 Sr 0.250 0.000 0.500
Zn1 Zn 0.000 0.000 0.000
As1 As 0.000 0.124 0.755

entry ii comes first in stability; the runner-up is 141.3 kJ/mol of atoms higher.

Entry i
# BaTa2As2, relaxed, DFT GGA-PBE
# Total moment, μB/cell: 0.000
# Calculated density, g cm⁻³: 9.0
data_BaTa2As2
_symmetry_space_group_name_H-M 'P 4/m m m'
_symmetry_Int_Tables_number 123
_symmetry_space_group_name_Hall '-P 4 2'
_cell_length_a 4.029
_cell_length_b 4.029
_cell_length_c 7.345
_cell_angle_alpha 90.00
_cell_angle_beta 90.00
_cell_angle_gamma 90.00
loop_
_atom_site_label
_atom_site_type_symbol
_atom_site_fract_x
_atom_site_fract_y
_atom_site_fract_z
Ba1 Ba 0.000 0.000 0.000
Ta1 Ta 0.000 0.500 0.500
As1 As 0.500 0.500 0.252

Entry ii
# BaTa2As2, relaxed, DFT GGA-PBE
# Total moment, μB/cell: 0.000
# Calculated density, g cm⁻³: 9.2
data_BaTa2As2
_symmetry_space_group_name_H-M 'I 4/m m m'
_symmetry_Int_Tables_number 139
_symmetry_space_group_name_Hall '-I 4 2'
_cell_length_a 5.010
_cell_length_b 5.010
_cell_length_c 9.334
_cell_angle_alpha 90.00
_cell_angle_beta 90.00
_cell_angle_gamma 90.00
loop_
_atom_site_label
_atom_site_type_symbol
_atom_site_fract_x
_atom_site_fract_y
_atom_site_fract_z
Ba1 Ba 0.000 0.000 0.000
Ta1 Ta 0.000 0.000 0.361
As1 As 0.000 0.500 0.250

Entry iii
# BaTa2As2, relaxed, DFT GGA-PBE
# Total moment, μB/cell: 0.000
# Calculated density, g cm⁻³: 9.1
data_BaTa2As2
_symmetry_space_group_name_H-M 'I 4/m m m'
_symmetry_Int_Tables_number 139
_symmetry_space_group_name_Hall '-I 4 2'
_cell_length_a 4.057
_cell_length_b 4.057
_cell_length_c 14.372
_cell_angle_alpha 90.00
_cell_angle_beta 90.00
_cell_angle_gamma 90.00
loop_
_atom_site_label
_atom_site_type_symbol
_atom_site_fract_x
_atom_site_fract_y
_atom_site_fract_z
Ba1 Ba 0.000 0.000 0.000
Ta1 Ta 0.000 0.500 0.250
As1 As 0.000 0.000 0.372

Entry iv
# BaTa2As2, relaxed, DFT GGA-PBE
# Total moment, μB/cell: 0.000
# Calculated density, g cm⁻³: 9.8
data_BaTa2As2
_symmetry_space_group_name_H-M 'P 4/m b m'
_symmetry_Int_Tables_number 127
_symmetry_space_group_name_Hall '-P 4 2ab'
_cell_length_a 8.143
_cell_length_b 8.143
_cell_length_c 3.307
_cell_angle_alpha 90.00
_cell_angle_beta 90.00
_cell_angle_gamma 90.00
loop_
_atom_site_label
_atom_site_type_symbol
_atom_site_fract_x
_atom_site_fract_y
_atom_site_fract_z
Ba1 Ba 0.000 0.000 0.000
Ta1 Ta 0.121 0.379 0.500
As1 As 0.141 0.641 0.000

entry iii comes first in stability; the runner-up is 6.4 kJ/mol of atoms higher.

Entry i
# BaTcAs2, relaxed, DFT GGA-PBE
# Total moment, μB/cell: 5.843
# Calculated density, g cm⁻³: 6.6
data_BaTcAs2
_symmetry_space_group_name_H-M 'I -4 m 2'
_symmetry_Int_Tables_number 119
_symmetry_space_group_name_Hall 'I -4 -2'
_cell_length_a 4.410
_cell_length_b 4.410
_cell_length_c 10.000
_cell_angle_alpha 90.00
_cell_angle_beta 90.00
_cell_angle_gamma 90.00
loop_
_atom_site_label
_atom_site_type_symbol
_atom_site_fract_x
_atom_site_fract_y
_atom_site_fract_z
Ba1 Ba 0.000 0.000 0.000
Tc1 Tc 0.000 0.500 0.750
As1 As 0.000 0.000 0.500
As2 As 0.000 0.500 0.250

Entry ii
# BaTcAs2, relaxed, DFT GGA-PBE
# Total moment, μB/cell: 3.661
# Calculated density, g cm⁻³: 5.5
data_BaTcAs2
_symmetry_space_group_name_H-M 'I 41/a m d'
_symmetry_Int_Tables_number 141
_cell_length_a 5.461
_cell_length_b 5.461
_cell_length_c 15.589
_cell_angle_alpha 90.00
_cell_angle_beta 90.00
_cell_angle_gamma 90.00
loop_
_symmetry_equiv_pos_as_xyz
'x,y,z'
'-x,-y,-z'
'-y+1/4,x+3/4,z+1/4'
'y+1/4,-x+3/4,-z+1/4'
'-x+1/2,-y,z+1/2'
'x+1/2,y,-z+1/2'
'y+1/4,-x+1/4,z+3/4'
'-y+1/4,x+1/4,-z+3/4'
'x,-y,-z'
'-x,y,z'
'-y+1/4,-x+1/4,-z+3/4'
'y+1/4,x+1/4,z+3/4'
'-x+1/2,y,-z+1/2'
'x+1/2,-y,z+1/2'
'y+1/4,x+3/4,-z+1/4'
'-y+1/4,-x+3/4,z+1/4'
'x+1/2,y+1/2,z+1/2'
'-x+1/2,-y+1/2,-z+1/2'
'-y+3/4,x+1/4,z+3/4'
'y+3/4,-x+1/4,-z+3/4'
'-x,-y+1/2,z'
'x,y+1/2,-z'
'y+3/4,-x+3/4,z+1/4'
'-y+3/4,x+3/4,-z+1/4'
'x+1/2,-y+1/2,-z+1/2'
'-x+1/2,y+1/2,z+1/2'
'-y+3/4,-x+3/4,-z+1/4'
'y+3/4,x+3/4,z+1/4'
'-x,y+1/2,-z'
'x,-y+1/2,z'
'y+3/4,x+1/4,-z+3/4'
'-y+3/4,-x+1/4,z+3/4'
loop_
_atom_site_label
_atom_site_type_symbol
_atom_site_fract_x
_atom_site_fract_y
_atom_site_fract_z
Ba1 Ba 0.000 0.250 0.375
Tc1 Tc 0.000 0.250 0.875
As1 As 0.000 0.000 0.000

Entry iii
# BaTcAs2, relaxed, DFT GGA-PBE
# Total moment, μB/cell: 0.000
# Calculated density, g cm⁻³: 6.4
data_BaTcAs2
_symmetry_space_group_name_H-M 'P m m 2'
_symmetry_Int_Tables_number 25
_symmetry_space_group_name_Hall 'P 2 -2'
_cell_length_a 3.233
_cell_length_b 3.909
_cell_length_c 7.910
_cell_angle_alpha 90.00
_cell_angle_beta 90.00
_cell_angle_gamma 90.00
loop_
_atom_site_label
_atom_site_type_symbol
_atom_site_fract_x
_atom_site_fract_y
_atom_site_fract_z
Ba1 Ba 0.000 0.000 0.000
Tc1 Tc 0.500 0.500 0.438
As1 As 0.000 0.000 0.412
As2 As 0.500 0.500 0.741

Entry iv
# BaTcAs2, relaxed, DFT GGA-PBE
# Total moment, μB/cell: 0.000
# Calculated density, g cm⁻³: 6.8
data_BaTcAs2
_symmetry_space_group_name_H-M 'C 1 m 1'
_symmetry_Int_Tables_number 8
_symmetry_space_group_name_Hall 'C -2y'
_cell_length_a 7.731
_cell_length_b 3.559
_cell_length_c 7.402
_cell_angle_alpha 90.00
_cell_angle_beta 112.64
_cell_angle_gamma 90.00
loop_
_atom_site_label
_atom_site_type_symbol
_atom_site_fract_x
_atom_site_fract_y
_atom_site_fract_z
Ba1 Ba 0.000 0.000 0.000
Tc1 Tc 0.212 0.000 0.533
As1 As 0.062 0.500 0.663
As2 As 0.334 0.500 0.343

entry iv comes first in stability; the runner-up is 5.3 kJ/mol of atoms higher.

Entry i
# BaTcAs2, relaxed, DFT GGA-PBE
# Total moment, μB/cell: 0.000
# Calculated density, g cm⁻³: 7.5
data_BaTcAs2
_symmetry_space_group_name_H-M 'F m -3 m'
_symmetry_Int_Tables_number 225
_symmetry_space_group_name_Hall '-F 4 2 3'
_cell_length_a 6.998
_cell_length_b 6.998
_cell_length_c 6.998
_cell_angle_alpha 90.00
_cell_angle_beta 90.00
_cell_angle_gamma 90.00
loop_
_atom_site_label
_atom_site_type_symbol
_atom_site_fract_x
_atom_site_fract_y
_atom_site_fract_z
Ba1 Ba 0.000 0.000 0.000
Tc1 Tc 0.000 0.000 0.500
As1 As 0.250 0.250 0.250

Entry ii
# BaTcAs2, relaxed, DFT GGA-PBE
# Total moment, μB/cell: 0.000
# Calculated density, g cm⁻³: 6.1
data_BaTcAs2
_symmetry_space_group_name_H-M 'I m m m'
_symmetry_Int_Tables_number 71
_symmetry_space_group_name_Hall '-I 2 2'
_cell_length_a 4.228
_cell_length_b 6.387
_cell_length_c 7.785
_cell_angle_alpha 90.00
_cell_angle_beta 90.00
_cell_angle_gamma 90.00
loop_
_atom_site_label
_atom_site_type_symbol
_atom_site_fract_x
_atom_site_fract_y
_atom_site_fract_z
Ba1 Ba 0.000 0.000 0.000
Tc1 Tc 0.000 0.000 0.500
As1 As 0.000 0.500 0.166

entry ii comes first in stability; the runner-up is 32.9 kJ/mol of atoms higher.

Entry i
# BaTcAs2, relaxed, DFT GGA-PBE
# Total moment, μB/cell: 3.024
# Calculated density, g cm⁻³: 6.6
data_BaTcAs2
_symmetry_space_group_name_H-M 'P 4/m m m'
_symmetry_Int_Tables_number 123
_symmetry_space_group_name_Hall '-P 4 2'
_cell_length_a 4.895
_cell_length_b 4.895
_cell_length_c 4.037
_cell_angle_alpha 90.00
_cell_angle_beta 90.00
_cell_angle_gamma 90.00
loop_
_atom_site_label
_atom_site_type_symbol
_atom_site_fract_x
_atom_site_fract_y
_atom_site_fract_z
Ba1 Ba 0.000 0.000 0.000
Tc1 Tc 0.500 0.500 0.000
As1 As 0.000 0.500 0.500

Entry ii
# BaTcAs2, relaxed, DFT GGA-PBE
# Total moment, μB/cell: 7.903
# Calculated density, g cm⁻³: 7.1
data_BaTcAs2
_symmetry_space_group_name_H-M 'F -4 3 m'
_symmetry_Int_Tables_number 216
_symmetry_space_group_name_Hall 'F -4 2 3'
_cell_length_a 7.125
_cell_length_b 7.125
_cell_length_c 7.125
_cell_angle_alpha 90.00
_cell_angle_beta 90.00
_cell_angle_gamma 90.00
loop_
_atom_site_label
_atom_site_type_symbol
_atom_site_fract_x
_atom_site_fract_y
_atom_site_fract_z
Ba1 Ba 0.000 0.000 0.000
Tc1 Tc 0.250 0.250 0.750
As1 As 0.000 0.000 0.500
As2 As 0.250 0.250 0.250

entry i comes first in stability; the runner-up is 13.7 kJ/mol of atoms higher.